Compound: NaCaHg3
Source: the Alexandria database
Functional: GGA-PBE
Structure: optimized geometry

The energy relative to the elements comes out at -0.33 eV/atom. The polymorph energy (0 for the lowest one) is 0 meV/atom. The calculation puts the density of states at the Fermi level at 0.4720 states/eV per atom.

It has space group Cmcm (No. 63), with a = 3.733 Å, b = 29.898 Å, c = 4.975 Å, α = 90.00°, β = 90.00° and γ = 90.00°. The distinct sites, in fractional coordinates, are Na at (0.000, 0.075, 0.250), Ca at (0.000, 0.208, 0.750), Hg at (0.000, 0.317, 0.750), Hg at (0.000, 0.378, 0.250) and Hg at (0.000, 0.475, 0.250).